EuHg2Pb | PBE | relaxed

The structure belongs to space group P4/mmm (No. 123); the cell edges are 4.804, 4.804 and 4.798 Å and the angles 90.00°, 90.00° and 90.00°. Symmetry generates all atoms from Eu at (0.000, 0.000, 0.000), Hg at (0.000, 0.500, 0.500) and Pb at (0.500, 0.500, 0.000).

Its formation energy is -356.0 meV/atom. The calculation puts the calculated total energy at -4.003 eV per atom. For the density of states at the Fermi level, the calculation gives 7.64 states/eV/cell.

EuHgPdPb | PBE | relaxed

The structure belongs to space group F-43m (No. 216); the cell edges are 7.323, 7.323 and 7.323 Å and the angles 90.00°, 90.00° and 90.00°. Symmetry generates all atoms from Eu at (0.000, 0.000, 0.000), Hg at (0.250, 0.250, 0.250), Pd at (0.250, 0.250, 0.750) and Pb at (0.000, 0.000, 0.500).

Its formation energy is -422.9 meV/atom. The calculation puts the calculated total energy at -5.292 eV per atom. For the density of states at the Fermi level, the calculation gives 51.67 states/eV/cell.